Mo2CBr | GGA-PBEsol | relaxed

Lattice parameters (Å, degrees): 6.1065 6.1065 6.1065 128.32 128.32 76.10
Positions (direct):
Mo 0.0329 0.6250 0.9079
Mo 0.3750 0.2829 0.4079
Mo 0.7171 0.1250 0.0921
Mo 0.8750 0.9671 0.5921
C 0.0000 0.0000 0.0000
C 0.7500 0.2500 0.5000
Br 0.2500 0.7500 0.5000
Br 0.5000 0.5000 0.0000

V: 136.2 Å³ per cell
Raw formation energy: 840 meV/atom
E_tot: -7.922 eV per atom
Symmetry: No. 122
Crystal system: tetragonal